Entry 1:
This record from Alexandria via LeMat-Bulk describes an optimized crystal structure of CrAuBr2. The functional is PBE-GGA.

Output
- Energy relative to the elements, uncorrected: 120 meV/atom

POSCAR file:
```
CrAuBr2
1.0
6.277 0.000 0.000
0.000 6.277 0.000
3.139 3.139 6.081
Cr Au Br
2 2 4
Direct
0.500 0.500 0.000
0.250 0.750 0.500
0.000 0.000 0.000
0.750 0.250 0.500
0.604 0.125 0.250
0.146 0.625 0.250
0.375 0.396 0.750
0.875 0.854 0.750
```



Entry 2:
This record from Alexandria via LeMat-Bulk describes an optimized crystal structure of MgZr2BeN. The functional is PBE-GGA.

Output
- Energy relative to the elements, uncorrected: 1011 meV/atom

POSCAR file:
```
MgZr2BeN
1.0
-0.414 3.754 -2.702
-2.525 -2.190 -2.656
-3.722 1.340 2.433
Be Mg Zr N
1 1 2 1
Direct
0.000 0.000 0.000
0.000 0.500 0.000
0.000 0.000 0.500
0.500 0.000 0.000
0.500 0.500 0.500
```



Entry 3:
This record from Alexandria via LeMat-Bulk describes an optimized crystal structure of ZnIr2F. The functional is PBE-GGA.

Output
- Energy relative to the elements, uncorrected: 436 meV/atom

POSCAR file:
```
ZnIr2F
1.0
-3.424 -3.264 -5.218
5.776 0.358 -4.014
1.892 -3.552 -3.773
Zn Ir F
2 4 2
Direct
0.000 0.000 0.000
0.750 0.250 0.500
0.576 0.125 0.250
0.174 0.625 0.250
0.375 0.424 0.750
0.875 0.826 0.750
0.500 0.500 0.000
0.250 0.750 0.500
```